Record 1
# GGA-PBE CaTe2Ru, relaxed
data_CaTe2Ru
_chemical_formula_sum 'Ca4 Te8 Ru4'
_symmetry_space_group_name_H-M 'F m -3 m'
_symmetry_Int_Tables_number 225
_symmetry_space_group_name_Hall '-F 4 2 3'
_cell_length_a 7.145
_cell_length_b 7.145
_cell_length_c 7.145
_cell_angle_alpha 90.00
_cell_angle_beta 90.00
_cell_angle_gamma 90.00
loop_
_atom_site_label
_atom_site_type_symbol
_atom_site_fract_x
_atom_site_fract_y
_atom_site_fract_z
Ca1 Ca 0.000 0.000 0.000
Te1 Te 0.250 0.250 0.250
Ru1 Ru 0.000 0.000 0.500
# Energy above the lowest structure with this stoichiometry (meV per atom): 512
# Theoretical density (g/cm3): 7.218
# Energy (eV per cell): -73.4
# Formation energy from raw total energies (meV/atom): -199


Record 2
# GGA-PBE CsTmBi, relaxed
data_CsTmBi
_chemical_formula_sum 'Cs6 Tm6 Bi6'
_symmetry_space_group_name_H-M 'R -3 m'
_symmetry_Int_Tables_number 166
_symmetry_space_group_name_Hall '-R 3 2"'
_cell_length_a 5.0448
_cell_length_b 5.0448
_cell_length_c 43.5631
_cell_angle_alpha 90.00
_cell_angle_beta 90.00
_cell_angle_gamma 120.00
loop_
_atom_site_label
_atom_site_type_symbol
_atom_site_fract_x
_atom_site_fract_y
_atom_site_fract_z
Cs1 Cs 0.0000 0.0000 0.1111
Tm1 Tm 0.0000 0.0000 0.3080
Bi1 Bi 0.0000 0.0000 0.3822
# Theoretical density (g/cm3): 5.301
# Energy (eV per cell): -62.2
# Formation energy from the elements (eV/atom): -0.3892


Record 3
# GGA-PBE Pr7AlI12, relaxed
data_Pr7AlI12
_chemical_formula_sum 'Pr21 Al3 I36'
_symmetry_space_group_name_H-M 'R -3'
_symmetry_Int_Tables_number 148
_symmetry_space_group_name_Hall '-R 3'
_cell_length_a 16.3084
_cell_length_b 16.3084
_cell_length_c 10.8930
_cell_angle_alpha 90.00
_cell_angle_beta 90.00
_cell_angle_gamma 120.00
loop_
_atom_site_label
_atom_site_type_symbol
_atom_site_fract_x
_atom_site_fract_y
_atom_site_fract_z
Pr1 Pr 0.0000 0.0000 0.0000
Pr2 Pr 0.0477 0.8807 0.3454
Al1 Al 0.0000 0.0000 0.5000
I1 I 0.0222 0.4346 0.1664
I2 I 0.0519 0.8681 0.8397
# Theoretical density (g/cm3): 5.036
# Energy (eV per cell): -241.7
# Formation energy from raw total energies (meV/atom): -1239